Record 1
! PBE-GGA Nd2ErGa, optimized geometry; values from VASP
&SYSTEM
  ibrav = 0, nat = 4, ntyp = 3
/
ATOMIC_SPECIES
Nd 144.24 Nd.upf
Ga 69.72 Ga.upf
Er 167.26 Er.upf
CELL_PARAMETERS angstrom
-2.894 1.469 -4.345
-1.626 -3.746 -3.568
-5.248 -1.327 -0.337
ATOMIC_POSITIONS crystal
Nd 0.250 0.250 0.250
Nd 0.750 0.750 0.750
Ga 0.500 0.500 0.500
Er 0.000 0.000 0.000
! **ΔH_f (0 K)**: -2.41 kcal/mol of atoms
! **Volume**: 112.8 Å³/f.u.

Record 2
! PBE-GGA Mn2FeCo, optimized geometry; values from VASP
&SYSTEM
  ibrav = 0, nat = 4, ntyp = 3
/
ATOMIC_SPECIES
Co 58.93 Co.upf
Mn 54.94 Mn.upf
Fe 55.84 Fe.upf
CELL_PARAMETERS angstrom
0.000 2.831 2.831
2.831 0.000 2.831
2.831 2.831 0.000
ATOMIC_POSITIONS crystal
Co 0.500 0.500 0.500
Mn 0.250 0.250 0.250
Mn 0.750 0.750 0.750
Fe 0.000 0.000 0.000
! **ΔH_f (0 K)**: 1.66 kcal/mol of atoms
! **Volume**: 45.4 Å³/f.u.

Record 3
! PBE-GGA NpGaSb2, optimized geometry; values from VASP
&SYSTEM
  ibrav = 0, nat = 4, ntyp = 3
/
ATOMIC_SPECIES
Sb 121.76 Sb.upf
Ga 69.72 Ga.upf
Np 237.00 Np.upf
CELL_PARAMETERS angstrom
4.669 0.000 0.000
2.334 4.043 0.000
2.334 1.348 6.158
ATOMIC_POSITIONS crystal
Sb 0.086 0.086 0.741
Sb 0.252 0.252 0.244
Ga 0.496 0.496 0.513
Np 0.666 0.666 0.002
! **Volume**: 116.2 Å³/f.u.
! **E_form (uncorrected)**: 1.56 kcal/mol of atoms

Record 4
! PBE-GGA Sr2CrHg, optimized geometry; values from VASP
&SYSTEM
  ibrav = 0, nat = 4, ntyp = 3
/
ATOMIC_SPECIES
Cr 52.00 Cr.upf
Hg 200.59 Hg.upf
Sr 87.62 Sr.upf
CELL_PARAMETERS angstrom
-1.873 0.992 -3.390
2.771 -1.968 -2.105
-4.426 -6.739 0.473
ATOMIC_POSITIONS crystal
Cr 0.500 0.500 0.250
Hg 0.500 0.500 0.750
Sr 0.000 0.000 0.506
Sr 0.000 0.000 0.994
! **ΔH_f (0 K)**: 3.13 kcal/mol of atoms
! **Volume**: 129.1 Å³/f.u.

Record 5
! PBE-GGA GaGeIN2, optimized geometry; values from VASP
&SYSTEM
  ibrav = 0, nat = 5, ntyp = 4
/
ATOMIC_SPECIES
Ga 69.72 Ga.upf
N 14.01 N.upf
Ge 72.64 Ge.upf
I 126.90 I.upf
CELL_PARAMETERS angstrom
-3.596 -1.234 -1.204
-0.101 -2.629 2.997
-2.527 4.012 3.434
ATOMIC_POSITIONS crystal
Ga 0.000 0.000 0.000
N 0.000 0.500 0.000
N 0.500 0.000 0.000
Ge 0.500 0.500 0.500
I 0.000 0.000 0.500
! **Volume**: 93.1 Å³/f.u.
! **E_form (uncorrected)**: 31.48 kcal/mol of atoms

Record 6
! PBE-GGA LaBrClF, optimized geometry; values from VASP
&SYSTEM
  ibrav = 0, nat = 4, ntyp = 4
/
ATOMIC_SPECIES
La 138.91 La.upf
Cl 35.45 Cl.upf
Br 79.90 Br.upf
F 19.00 F.upf
CELL_PARAMETERS angstrom
-3.962 -0.984 1.045
1.213 -0.141 -4.033
4.185 -6.278 1.485
ATOMIC_POSITIONS crystal
La 0.501 0.615 0.116
Cl 0.008 0.868 0.876
Br 0.350 0.040 0.390
F 0.834 0.281 0.115
! **Volume**: 112.2 Å³/f.u.
! **E_form (uncorrected)**: -66.18 kcal/mol of atoms

Record 7
! PBE-GGA KIr5Se8, optimized geometry; values from VASP
&SYSTEM
  ibrav = 0, nat = 14, ntyp = 3
/
ATOMIC_SPECIES
Se 78.96 Se.upf
Ir 192.22 Ir.upf
K 39.10 K.upf
CELL_PARAMETERS angstrom
3.713 0.000 -0.726
-0.479 8.462 -2.450
0.023 -0.047 9.972
ATOMIC_POSITIONS crystal
Se 0.765 0.855 0.530
Se 0.916 0.175 0.832
Se 0.235 0.145 0.471
Se 0.577 0.130 0.154
Se 0.423 0.870 0.846
Se 0.178 0.485 0.356
Se 0.084 0.824 0.168
Se 0.822 0.515 0.644
Ir 0.658 0.965 0.317
Ir 0.000 0.000 0.000
Ir 0.701 0.324 0.402
Ir 0.342 0.035 0.684
Ir 0.299 0.676 0.598
K 0.499 0.500 0.999
! **Volume**: 313.0 Å³/f.u.
! **E_form (uncorrected)**: -7.24 kcal/mol of atoms

Record 8
! PBE-GGA Y2BeSi, optimized geometry; values from VASP
&SYSTEM
  ibrav = 0, nat = 4, ntyp = 3
/
ATOMIC_SPECIES
Be 9.01 Be.upf
Y 88.91 Y.upf
Si 28.09 Si.upf
CELL_PARAMETERS angstrom
-2.254 -2.178 1.573
2.504 -2.448 0.194
1.880 2.400 6.017
ATOMIC_POSITIONS crystal
Be 0.500 0.500 0.250
Y 0.000 0.000 0.006
Y 0.000 0.000 0.494
Si 0.500 0.500 0.750
! **Volume**: 83.0 Å³/f.u.
! **E_form (uncorrected)**: -5.28 kcal/mol of atoms

Record 9
! PBE-GGA KTl2HgS, optimized geometry; values from VASP
&SYSTEM
  ibrav = 0, nat = 5, ntyp = 4
/
ATOMIC_SPECIES
Tl 204.38 Tl.upf
Hg 200.59 Hg.upf
K 39.10 K.upf
S 32.06 S.upf
CELL_PARAMETERS angstrom
5.661 0.000 0.000
0.000 6.095 0.000
0.000 0.000 5.661
ATOMIC_POSITIONS crystal
Tl 0.500 0.000 0.000
Tl 0.000 0.000 0.500
Hg 0.000 0.000 0.000
K 0.000 0.500 0.000
S 0.500 0.500 0.500
! **Volume**: 195.3 Å³/f.u.
! **E_form (uncorrected)**: 3.17 kcal/mol of atoms

Record 10
! PBE-GGA LaTe2IBr, optimized geometry; values from VASP
&SYSTEM
  ibrav = 0, nat = 5, ntyp = 4
/
ATOMIC_SPECIES
I 126.90 I.upf
Te 127.60 Te.upf
Br 79.90 Br.upf
La 138.91 La.upf
CELL_PARAMETERS angstrom
-5.148 -3.308 1.683
3.078 -2.198 5.096
-2.012 4.804 3.287
ATOMIC_POSITIONS crystal
I 0.000 0.000 0.500
Te 0.000 0.500 0.000
Te 0.500 0.000 0.000
Br 0.500 0.500 0.500
La 0.000 0.000 0.000
! **Volume**: 248.0 Å³/f.u.
! **E_form (uncorrected)**: -7.90 kcal/mol of atoms

Record 11
! PBE-GGA Tb4Nd3Er8, optimized geometry; values from VASP
&SYSTEM
  ibrav = 0, nat = 15, ntyp = 3
/
ATOMIC_SPECIES
Nd 144.24 Nd.upf
Tb 158.93 Tb.upf
Er 167.26 Er.upf
CELL_PARAMETERS angstrom
6.718 -0.101 -0.145
-3.201 8.608 1.147
-3.201 -1.912 8.470
ATOMIC_POSITIONS crystal
Nd 0.500 0.500 0.000
Nd 0.500 0.500 0.500
Nd 0.500 0.000 0.500
Tb 0.500 0.000 0.000
Tb 0.000 0.000 0.000
Tb 0.000 0.500 0.000
Tb 0.000 0.000 0.500
Er 0.469 0.733 0.733
Er 0.500 0.254 0.746
Er 0.000 0.639 0.361
Er 0.007 0.264 0.264
Er 0.531 0.267 0.267
Er 0.993 0.736 0.736
Er 0.000 0.361 0.639
Er 0.500 0.746 0.254
! **ΔH_f (0 K)**: 8.99 kcal/mol of atoms
! **Volume**: 497.3 Å³/f.u.

Record 12
! PBE-GGA Tb12Dy6Cd, optimized geometry; values from VASP
&SYSTEM
  ibrav = 0, nat = 19, ntyp = 3
/
ATOMIC_SPECIES
Dy 162.50 Dy.upf
Tb 158.93 Tb.upf
Cd 112.41 Cd.upf
CELL_PARAMETERS angstrom
8.531 -0.287 -0.798
-0.849 8.493 -0.798
-0.269 -0.287 8.564
ATOMIC_POSITIONS crystal
Dy 0.864 0.593 0.865
Dy 0.865 0.864 0.593
Dy 0.135 0.136 0.407
Dy 0.407 0.135 0.136
Dy 0.136 0.407 0.135
Dy 0.593 0.865 0.864
Tb 0.740 0.260 0.001
Tb 0.582 0.582 0.170
Tb 0.260 0.001 0.740
Tb 0.418 0.418 0.830
Tb 0.830 0.418 0.418
Tb 0.418 0.830 0.418
Tb 0.740 0.999 0.260
Tb 0.582 0.170 0.582
Tb 0.999 0.260 0.740
Tb 0.001 0.740 0.260
Tb 0.170 0.582 0.582
Tb 0.260 0.740 0.999
Cd 0.000 0.000 0.000
! **ΔH_f (0 K)**: 2.75 kcal/mol of atoms
! **Volume**: 614.4 Å³/f.u.

Record 13
! PBE-GGA LiTb5Dy4, optimized geometry; values from VASP
&SYSTEM
  ibrav = 0, nat = 10, ntyp = 3
/
ATOMIC_SPECIES
Dy 162.50 Dy.upf
Tb 158.93 Tb.upf
Li 6.94 Li.upf
CELL_PARAMETERS angstrom
-0.707 -2.529 2.413
-1.459 -2.024 -2.549
21.359 -10.030 -4.260
ATOMIC_POSITIONS crystal
Dy 0.000 0.000 0.396
Dy 0.000 0.000 0.813
Dy 0.000 0.000 0.187
Dy 0.000 0.000 0.604
Tb 0.500 0.500 0.709
Tb 0.500 0.500 0.500
Tb 0.500 0.500 0.916
Tb 0.500 0.500 0.084
Tb 0.500 0.500 0.291
Li 0.000 0.000 0.000
! **ΔH_f (0 K)**: 0.87 kcal/mol of atoms
! **Volume**: 305.0 Å³/f.u.

Record 14
! PBE-GGA YMg14Co, optimized geometry; values from VASP
&SYSTEM
  ibrav = 0, nat = 16, ntyp = 3
/
ATOMIC_SPECIES
Mg 24.30 Mg.upf
Co 58.93 Co.upf
Y 88.91 Y.upf
CELL_PARAMETERS angstrom
1.415 2.865 5.640
-3.474 2.827 -4.687
-8.603 -3.797 4.087
ATOMIC_POSITIONS crystal
Mg 0.192 0.808 0.297
Mg 0.175 0.333 0.746
Mg 0.793 0.678 0.500
Mg 0.327 0.673 0.000
Mg 0.324 0.165 0.000
Mg 0.667 0.333 0.238
Mg 0.667 0.825 0.746
Mg 0.834 0.166 0.000
Mg 0.192 0.808 0.703
Mg 0.175 0.333 0.254
Mg 0.667 0.333 0.762
Mg 0.835 0.676 0.000
Mg 0.667 0.825 0.254
Mg 0.322 0.207 0.500
Co 0.352 0.648 0.500
Y 0.812 0.188 0.500
! **ΔH_f (0 K)**: 0.91 kcal/mol of atoms
! **Volume**: 359.0 Å³/f.u.

Record 15
! PBE-GGA Ca2AgBr, optimized geometry; values from VASP
&SYSTEM
  ibrav = 0, nat = 4, ntyp = 3
/
ATOMIC_SPECIES
Ca 40.08 Ca.upf
Br 79.90 Br.upf
Ag 107.87 Ag.upf
CELL_PARAMETERS angstrom
-4.734 -2.964 -0.231
1.579 -4.359 3.123
0.368 5.361 1.538
ATOMIC_POSITIONS crystal
Ca 0.500 0.500 0.000
Ca 0.000 0.000 0.000
Br 0.750 0.250 0.500
Ag 0.250 0.750 0.500
! **Volume**: 112.5 Å³/f.u.
! **E_form (uncorrected)**: -13.62 kcal/mol of atoms

Record 16
! PBE-GGA DyYMgAl, optimized geometry; values from VASP
&SYSTEM
  ibrav = 0, nat = 4, ntyp = 4
/
ATOMIC_SPECIES
Al 26.98 Al.upf
Y 88.91 Y.upf
Mg 24.30 Mg.upf
Dy 162.50 Dy.upf
CELL_PARAMETERS angstrom
-0.628 5.155 -0.312
-3.715 1.988 -3.051
-4.186 2.243 2.123
ATOMIC_POSITIONS crystal
Al 0.500 0.500 0.500
Y 0.750 0.750 0.750
Mg 0.000 0.000 0.000
Dy 0.250 0.250 0.250
! **ΔH_f (0 K)**: -6.63 kcal/mol of atoms
! **Volume**: 99.5 Å³/f.u.

Record 17
! PBE-GGA PrThGeAu, optimized geometry; values from VASP
&SYSTEM
  ibrav = 0, nat = 4, ntyp = 4
/
ATOMIC_SPECIES
Au 196.97 Au.upf
Th 232.04 Th.upf
Ge 72.64 Ge.upf
Pr 140.91 Pr.upf
CELL_PARAMETERS angstrom
-2.263 1.614 3.228
-3.497 0.419 -2.661
-0.560 -5.994 -0.207
ATOMIC_POSITIONS crystal
Au 0.420 0.000 0.841
Th 0.138 0.000 0.276
Ge 0.584 0.500 0.168
Pr 0.858 0.500 0.715
! **ΔH_f (0 K)**: -16.54 kcal/mol of atoms
! **Volume**: 106.0 Å³/f.u.

Record 18
! PBE-GGA SrLi2F4, optimized geometry; values from VASP
&SYSTEM
  ibrav = 0, nat = 14, ntyp = 3
/
ATOMIC_SPECIES
F 19.00 F.upf
Li 6.94 Li.upf
Sr 87.62 Sr.upf
CELL_PARAMETERS angstrom
3.353 0.000 0.000
-1.677 4.939 0.000
0.000 0.000 10.053
ATOMIC_POSITIONS crystal
F 0.926 0.853 0.750
F 0.500 0.000 0.000
F 0.220 0.441 0.609
F 0.220 0.441 0.891
F 0.780 0.559 0.109
F 0.500 0.000 0.500
F 0.074 0.147 0.250
F 0.780 0.559 0.391
Li 0.865 0.730 0.938
Li 0.865 0.730 0.562
Li 0.135 0.270 0.062
Li 0.135 0.270 0.438
Sr 0.394 0.788 0.250
Sr 0.606 0.212 0.750
! **Volume**: 83.2 Å³/f.u.
! **E_form (uncorrected)**: -75.55 kcal/mol of atoms

Record 19
! PBE-GGA Ni2HOs, optimized geometry; values from VASP
&SYSTEM
  ibrav = 0, nat = 4, ntyp = 3
/
ATOMIC_SPECIES
Ni 58.69 Ni.upf
Os 190.23 Os.upf
H 1.01 H.upf
CELL_PARAMETERS angstrom
-1.212 -0.518 -2.244
0.349 -2.300 -1.167
-5.767 -3.581 2.434
ATOMIC_POSITIONS crystal
Ni 0.116 0.116 0.652
Ni 0.884 0.884 0.348
Os 0.000 0.000 0.000
H 0.500 0.500 0.500
! **DFT total energy**: -24.65 eV/cell
! **Volume**: 41.4 Å³/f.u.

Record 20
! PBE-GGA NaB2Sb, optimized geometry; values from VASP
&SYSTEM
  ibrav = 0, nat = 8, ntyp = 3
/
ATOMIC_SPECIES
Sb 121.76 Sb.upf
B 10.81 B.upf
Na 22.99 Na.upf
CELL_PARAMETERS angstrom
6.353 0.000 0.000
0.000 6.353 0.000
3.177 3.177 4.235
ATOMIC_POSITIONS crystal
Sb 0.750 0.250 0.500
Sb 0.000 0.000 0.000
B 0.875 0.931 0.750
B 0.375 0.319 0.750
B 0.681 0.125 0.250
B 0.069 0.625 0.250
Na 0.250 0.750 0.500
Na 0.500 0.500 0.000
! **Volume**: 85.5 Å³/f.u.
! **E_form (uncorrected)**: 30.14 kcal/mol of atoms

Record 21
! PBE-GGA K2TiGa, optimized geometry; values from VASP
&SYSTEM
  ibrav = 0, nat = 8, ntyp = 3
/
ATOMIC_SPECIES
K 39.10 K.upf
Ti 47.87 Ti.upf
Ga 69.72 Ga.upf
CELL_PARAMETERS angstrom
-4.907 -11.133 2.676
-2.637 -1.735 -12.051
-1.485 -7.525 -5.031
ATOMIC_POSITIONS crystal
K 0.875 0.029 0.750
K 0.375 0.221 0.750
K 0.779 0.125 0.250
K 0.971 0.625 0.250
Ti 0.500 0.500 0.000
Ti 0.250 0.750 0.500
Ga 0.000 0.000 0.000
Ga 0.750 0.250 0.500
! **ΔH_f (0 K)**: 15.65 kcal/mol of atoms
! **Volume**: 198.4 Å³/f.u.

Record 22
! PBE-GGA ZnP3O9, optimized geometry; values from VASP
&SYSTEM
  ibrav = 0, nat = 26, ntyp = 3
/
ATOMIC_SPECIES
O 16.00 O.upf
Zn 65.41 Zn.upf
P 30.97 P.upf
CELL_PARAMETERS angstrom
-3.548 -5.173 -2.234
-4.068 -3.714 5.140
-8.009 1.914 -1.635
ATOMIC_POSITIONS crystal
O 0.334 0.231 0.333
O 0.956 0.253 0.157
O 0.396 0.830 0.392
O 0.679 0.719 0.093
O 0.727 0.393 0.630
O 0.382 0.330 0.892
O 0.833 0.965 0.342
O 0.103 0.731 0.833
O 0.250 0.893 0.130
O 0.171 0.056 0.706
O 0.067 0.556 0.206
O 0.634 0.753 0.657
O 0.406 0.544 0.282
O 0.509 0.219 0.593
O 0.767 0.044 0.782
O 0.909 0.020 0.018
O 0.053 0.520 0.518
O 0.860 0.465 0.842
Zn 0.019 0.497 0.998
Zn 0.485 0.997 0.498
P 0.009 0.953 0.827
P 0.978 0.043 0.171
P 0.578 0.252 0.729
P 0.211 0.453 0.327
P 0.807 0.543 0.671
P 0.441 0.752 0.229
! **Volume**: 172.3 Å³/f.u.
! **E_form (uncorrected)**: -42.59 kcal/mol of atoms

Record 23
! PBE-GGA SrSc2Cd, optimized geometry; values from VASP
&SYSTEM
  ibrav = 0, nat = 8, ntyp = 3
/
ATOMIC_SPECIES
Sc 44.96 Sc.upf
Cd 112.41 Cd.upf
Sr 87.62 Sr.upf
CELL_PARAMETERS angstrom
5.269 0.000 0.000
0.000 5.269 0.000
2.634 2.634 10.767
ATOMIC_POSITIONS crystal
Sc 0.874 0.625 0.250
Sc 0.876 0.125 0.250
Sc 0.875 0.126 0.750
Sc 0.375 0.124 0.750
Cd 0.000 0.000 0.000
Cd 0.750 0.250 0.500
Sr 0.500 0.500 0.000
Sr 0.250 0.750 0.500
! **ΔH_f (0 K)**: 13.16 kcal/mol of atoms
! **Volume**: 149.4 Å³/f.u.

Record 24
! PBE-GGA Er5Sn2Hg, optimized geometry; values from VASP
&SYSTEM
  ibrav = 0, nat = 16, ntyp = 3
/
ATOMIC_SPECIES
Er 167.26 Er.upf
Sn 118.71 Sn.upf
Hg 200.59 Hg.upf
CELL_PARAMETERS angstrom
5.240 0.000 0.000
-2.620 5.183 0.000
0.000 0.000 16.473
ATOMIC_POSITIONS crystal
Er 0.099 0.199 0.385
Er 0.901 0.801 0.615
Er 0.099 0.199 0.115
Er 0.179 0.358 0.750
Er 0.821 0.642 0.250
Er 0.590 0.181 0.587
Er 0.410 0.819 0.087
Er 0.590 0.181 0.913
Er 0.901 0.801 0.885
Er 0.410 0.819 0.413
Sn 0.248 0.497 0.929
Sn 0.248 0.497 0.571
Sn 0.752 0.503 0.429
Sn 0.752 0.503 0.071
Hg 0.478 0.955 0.750
Hg 0.522 0.045 0.250
! **ΔH_f (0 K)**: -7.78 kcal/mol of atoms
! **Volume**: 223.7 Å³/f.u.